A plane-wave DFT calculation with PBE-GGA was carried out for crystalline Sm3Hg5S12 at its relaxed geometry.

## Properties
Energy = -76.9 eV/f.u.
Theoretical density = 6.1 g/cm³
N(E_F) = 11.121 states/eV/f.u.

a = 13.723 Å, b = 13.723 Å, c = 13.723 Å
α = 109.47°, β = 109.47°, γ = 109.47°
Sites, in units of the cell vectors:
1 Sm 0.750 0.375 0.125
2 Sm 0.875 0.750 0.125
3 Sm 0.375 0.750 0.625
4 Sm 0.250 0.125 0.375
5 Sm 0.875 0.125 0.250
6 Sm 0.375 0.625 0.250
7 Sm 0.625 0.375 0.750
8 Sm 0.125 0.875 0.750
9 Sm 0.750 0.875 0.625
10 Sm 0.625 0.250 0.375
11 Sm 0.125 0.250 0.875
12 Sm 0.250 0.625 0.875
13 Hg 0.125 0.375 0.250
14 Hg 0.000 0.500 0.000
15 Hg 0.000 0.000 0.000
16 Hg 0.375 0.250 0.125
17 Hg 0.500 0.000 0.500
18 Hg 0.500 0.500 0.000
19 Hg 0.125 0.750 0.375
20 Hg 0.750 0.125 0.875
21 Hg 0.750 0.625 0.375
22 Hg 0.375 0.125 0.750
23 Hg 0.625 0.875 0.250
24 Hg 0.500 0.500 0.500
25 Hg 0.500 0.000 0.000
26 Hg 0.000 0.000 0.500
27 Hg 0.250 0.375 0.625
28 Hg 0.250 0.875 0.125
29 Hg 0.000 0.500 0.500
30 Hg 0.875 0.250 0.625
31 Hg 0.625 0.750 0.875
32 Hg 0.875 0.625 0.750
33 S 0.723 0.138 0.052
34 S 0.329 0.552 0.414
35 S 0.948 0.362 0.277
36 S 0.552 0.223 0.138
37 S 0.585 0.723 0.671
38 S 0.948 0.586 0.171
39 S 0.329 0.777 0.415
40 S 0.086 0.915 0.138
41 S 0.586 0.948 0.671
42 S 0.723 0.585 0.171
43 S 0.777 0.448 0.362
44 S 0.829 0.914 0.052
45 S 0.138 0.723 0.552
46 S 0.362 0.414 0.085
47 S 0.085 0.914 0.362
48 S 0.415 0.138 0.586
49 S 0.085 0.171 0.223
50 S 0.448 0.671 0.086
51 S 0.829 0.915 0.277
52 S 0.138 0.415 0.086
53 S 0.362 0.948 0.777
54 S 0.586 0.638 0.415
55 S 0.914 0.829 0.552
56 S 0.777 0.329 0.915
57 S 0.414 0.362 0.585
58 S 0.086 0.171 0.448
59 S 0.223 0.671 0.085
60 S 0.171 0.085 0.723
61 S 0.638 0.052 0.223
62 S 0.862 0.585 0.914
63 S 0.552 0.329 0.914
64 S 0.585 0.862 0.414
65 S 0.915 0.829 0.777
66 S 0.915 0.086 0.638
67 S 0.862 0.277 0.448
68 S 0.171 0.086 0.948
69 S 0.638 0.586 0.915
70 S 0.414 0.052 0.329
71 S 0.277 0.415 0.829
72 S 0.223 0.552 0.638
73 S 0.914 0.085 0.862
74 S 0.671 0.223 0.585
75 S 0.448 0.777 0.862
76 S 0.052 0.414 0.829
77 S 0.415 0.277 0.329
78 S 0.052 0.638 0.723
79 S 0.671 0.448 0.586
80 S 0.277 0.862 0.948

=====

A plane-wave DFT calculation with PBE-GGA was carried out for crystalline Sm6HgS4 at its relaxed geometry.

## Properties
Energy = -62.5 eV/f.u.
Theoretical density = 7.3 g/cm³
N(E_F) = 6.658 states/eV/f.u.

a = 4.033 Å, b = 6.985 Å, c = 20.635 Å
α = 90.00°, β = 90.00°, γ = 106.78°
Sites, in units of the cell vectors:
1 Sm 0.500 0.000 0.000
2 Sm 0.500 0.000 0.500
3 Sm 0.039 0.078 0.341
4 Sm 0.961 0.922 0.659
5 Sm 0.961 0.922 0.841
6 Sm 0.039 0.078 0.159
7 Sm 0.772 0.544 0.418
8 Sm 0.228 0.456 0.582
9 Sm 0.228 0.456 0.918
10 Sm 0.772 0.544 0.082
11 Sm 0.335 0.669 0.250
12 Sm 0.665 0.331 0.750
13 Hg 0.658 0.315 0.250
14 Hg 0.342 0.685 0.750
15 S 0.863 0.727 0.540
16 S 0.405 0.810 0.122
17 S 0.137 0.273 0.460
18 S 0.595 0.190 0.878
19 S 0.863 0.727 0.960
20 S 0.137 0.273 0.040
21 S 0.595 0.190 0.622
22 S 0.405 0.810 0.378